Record 1
Mn2IrSe | GGA-PBE | optimized geometry

Properties
Raw formation energy = 54.3 kJ per mole of atoms
Mass density = 8.437 Mg/m³
Spin magnetization = 2.10 μB/cell

Structure (CIF):
```
data_Mn2IrSe
_chemical_formula_sum 'Mn4 Ir2 Se2'
_cell_length_a 6.446
_cell_length_b 6.446
_cell_length_c 6.446
_cell_angle_alpha 130.82
_cell_angle_beta 130.82
_cell_angle_gamma 72.09
_symmetry_space_group_name_H-M 'P 1'
_symmetry_Int_Tables_number 1
loop_
_symmetry_equiv_pos_as_xyz
'x,y,z'
loop_
_atom_site_label
_atom_site_fract_x
_atom_site_fract_y
_atom_site_fract_z
Mn1 0.119 0.625 0.994
Mn2 0.375 0.369 0.494
Mn3 0.631 0.125 0.006
Mn4 0.875 0.881 0.506
Ir1 0.000 0.000 0.000
Ir2 0.750 0.250 0.500
Se1 0.250 0.750 0.500
Se2 0.500 0.500 0.000
```

---

Record 2
Li2Si | GGA-PBE | optimized geometry

Properties
Raw formation energy = -16.8 kJ per mole of atoms
Mass density = 1.545 Mg/m³
Spin magnetization = 0.00 μB/cell

Structure (CIF):
```
data_Li2Si
_chemical_formula_sum 'Li4 Si2'
_cell_length_a 5.422
_cell_length_b 5.422
_cell_length_c 6.244
_cell_angle_alpha 101.80
_cell_angle_beta 101.80
_cell_angle_gamma 30.18
_symmetry_space_group_name_H-M 'P 1'
_symmetry_Int_Tables_number 1
loop_
_symmetry_equiv_pos_as_xyz
'x,y,z'
loop_
_atom_site_label
_atom_site_fract_x
_atom_site_fract_y
_atom_site_fract_z
Li1 0.123 0.123 0.033
Li2 0.187 0.187 0.641
Li3 0.813 0.813 0.359
Li4 0.877 0.877 0.967
Si1 0.472 0.472 0.675
Si2 0.528 0.528 0.325
```

---

Record 3
AcNd2Ir9 | GGA-PBE | optimized geometry

Properties
Mass density = 16.482 Mg/m³
Spin magnetization = 0.00 μB/cell
Calculated total energy = -8.270 eV per atom

Structure (CIF):
```
data_AcNd2Ir9
_chemical_formula_sum 'Ac1 Nd2 Ir9'
_cell_length_a 9.383
_cell_length_b 9.383
_cell_length_c 9.383
_cell_angle_alpha 33.67
_cell_angle_beta 33.67
_cell_angle_gamma 33.67
_symmetry_space_group_name_H-M 'P 1'
_symmetry_Int_Tables_number 1
loop_
_symmetry_equiv_pos_as_xyz
'x,y,z'
loop_
_atom_site_label
_atom_site_fract_x
_atom_site_fract_y
_atom_site_fract_z
Ac1 0.000 0.000 0.000
Nd1 0.140 0.140 0.140
Nd2 0.860 0.860 0.860
Ir1 0.085 0.580 0.580
Ir2 0.332 0.332 0.332
Ir3 0.420 0.420 0.915
Ir4 0.420 0.915 0.420
Ir5 0.500 0.500 0.500
Ir6 0.580 0.085 0.580
Ir7 0.580 0.580 0.085
Ir8 0.668 0.668 0.668
Ir9 0.915 0.420 0.420
```